[1]
VASP calculation (GGA-PBE) on a geometry-optimized TmBe3Pt3 structure.

As for the space group: Pm-3n, No. 223. The calculated density is 11.24 g cm⁻³. The formation energy comes out at -0.465 eV/atom. The volume is 16.5 Å³/atom.

a b c (Å): 6.135 6.135 6.135
angles (deg): 90.00 90.00 90.00
Fractional coordinates of all 14 atoms:
Tm: 0.000 0.000 0.000
Tm: 0.500 0.500 0.500
Be: 0.000 0.250 0.500
Be: 0.000 0.750 0.500
Be: 0.250 0.500 0.000
Be: 0.500 0.000 0.250
Be: 0.500 0.000 0.750
Be: 0.750 0.500 0.000
Pt: 0.000 0.500 0.250
Pt: 0.000 0.500 0.750
Pt: 0.250 0.000 0.500
Pt: 0.500 0.250 0.000
Pt: 0.500 0.750 0.000
Pt: 0.750 0.000 0.500

---

[2]
VASP calculation (GGA-PBE) on a geometry-optimized TmBePt2 structure.

As for the space group: Cmmm, No. 65. The calculated density is 13.96 g cm⁻³. The formation energy comes out at -1.051 eV/atom. The volume is 16.9 Å³/atom.

a b c (Å): 8.812 8.812 3.900
angles (deg): 90.00 90.00 153.50
Fractional coordinates of all 8 atoms:
Tm: 0.142 0.858 0.000
Tm: 0.858 0.142 0.000
Be: 0.429 0.571 0.500
Be: 0.571 0.429 0.500
Pt: 0.000 0.000 0.500
Pt: 0.301 0.699 0.500
Pt: 0.500 0.500 0.000
Pt: 0.699 0.301 0.500

---

[3]
VASP calculation (GGA-PBE) on a geometry-optimized Tm2BeZnPt6 structure.

As for the space group: R-3m, No. 166. The calculated density is 14.35 g cm⁻³. The formation energy comes out at -0.820 eV/atom. The volume is 18.3 Å³/atom.

a b c (Å): 7.542 7.542 7.542
angles (deg): 43.32 43.32 43.32
Fractional coordinates of all 10 atoms:
Tm: 0.206 0.206 0.206
Tm: 0.794 0.794 0.794
Be: 0.000 0.000 0.000
Zn: 0.500 0.500 0.500
Pt: 0.241 0.241 0.735
Pt: 0.241 0.735 0.241
Pt: 0.265 0.759 0.759
Pt: 0.735 0.241 0.241
Pt: 0.759 0.265 0.759
Pt: 0.759 0.759 0.265

---

[4]
VASP calculation (GGA-PBE) on a geometry-optimized Tm2Be2ZnPt5 structure.

As for the space group: P4/mbm, No. 127. The calculated density is 14.93 g cm⁻³. The formation energy comes out at -1.005 eV/atom. The volume is 15.5 Å³/atom.

a b c (Å): 9.427 9.427 3.496
angles (deg): 90.00 90.00 90.00
Fractional coordinates of all 20 atoms:
Tm: 0.178 0.322 0.000
Tm: 0.322 0.822 0.000
Tm: 0.678 0.178 0.000
Tm: 0.822 0.678 0.000
Be: 0.120 0.620 0.000
Be: 0.380 0.120 0.000
Be: 0.620 0.880 0.000
Be: 0.880 0.380 0.000
Zn: 0.000 0.000 0.000
Zn: 0.500 0.500 0.000
Pt: 0.000 0.500 0.500
Pt: 0.068 0.788 0.500
Pt: 0.212 0.068 0.500
Pt: 0.288 0.568 0.500
Pt: 0.432 0.288 0.500
Pt: 0.500 0.000 0.500
Pt: 0.568 0.712 0.500
Pt: 0.712 0.432 0.500
Pt: 0.788 0.932 0.500
Pt: 0.932 0.212 0.500

---

[5]
VASP calculation (GGA-PBE) on a geometry-optimized Tm2Be4ZnPt3 structure.

As for the space group: P-4m2, No. 115. The calculated density is 11.31 g cm⁻³. The formation energy comes out at -0.740 eV/atom. The volume is 15.0 Å³/atom.

a b c (Å): 3.930 3.930 9.738
angles (deg): 90.00 90.00 90.00
Fractional coordinates of all 10 atoms:
Tm: 0.000 0.500 0.246
Tm: 0.500 0.000 0.754
Be: 0.000 0.000 0.000
Be: 0.000 0.500 0.633
Be: 0.500 0.000 0.367
Be: 0.500 0.500 0.000
Zn: 0.000 0.000 0.500
Pt: 0.000 0.500 0.872
Pt: 0.500 0.000 0.128
Pt: 0.500 0.500 0.500

---

[6]
VASP calculation (GGA-PBE) on a geometry-optimized Tm2BeZnPt2 structure.

As for the space group: Ibam, No. 72. The calculated density is 12.07 g cm⁻³. The formation energy comes out at -0.901 eV/atom. The volume is 18.4 Å³/atom.

a b c (Å): 7.913 7.913 7.913
angles (deg): 137.48 61.16 138.19
Fractional coordinates of all 12 atoms:
Tm: 0.170 0.233 0.402
Tm: 0.330 0.733 0.063
Tm: 0.670 0.267 0.937
Tm: 0.830 0.767 0.598
Be: 0.250 0.750 0.500
Be: 0.750 0.250 0.500
Zn: 0.250 0.250 0.000
Zn: 0.750 0.750 0.000
Pt: 0.114 0.715 0.829
Pt: 0.386 0.215 0.602
Pt: 0.614 0.785 0.398
Pt: 0.886 0.285 0.171

---

[7]
VASP calculation (GGA-PBE) on a geometry-optimized UBePt2 structure.

As for the space group: P4/mmm, No. 123. The calculated density is 16.73 g cm⁻³. The formation energy comes out at -0.568 eV/atom. The volume is 15.8 Å³/atom.

a b c (Å): 3.031 3.031 6.885
angles (deg): 90.00 90.00 90.00
Fractional coordinates of all 4 atoms:
U: 0.000 0.000 0.000
Be: 0.000 0.000 0.500
Pt: 0.500 0.500 0.300
Pt: 0.500 0.500 0.700

---

[8]
VASP calculation (GGA-PBE) on a geometry-optimized UBePt structure.

As for the space group: Pnma, No. 62. The calculated density is 15.35 g cm⁻³. The formation energy comes out at -0.494 eV/atom. The volume is 15.9 Å³/atom.

a b c (Å): 7.253 3.884 6.792
angles (deg): 90.00 90.00 90.00
Fractional coordinates of all 12 atoms:
U: 0.003 0.250 0.137
U: 0.497 0.750 0.637
U: 0.503 0.250 0.363
U: 0.997 0.750 0.863
Be: 0.196 0.750 0.378
Be: 0.304 0.250 0.878
Be: 0.696 0.750 0.122
Be: 0.804 0.250 0.622
Pt: 0.135 0.250 0.567
Pt: 0.365 0.750 0.067
Pt: 0.635 0.250 0.933
Pt: 0.865 0.750 0.433